Entry 1:
YBeZn2 SCAN PBEsol geometry; total DFT energy (no corrections) = -60.3 eV for the cell shown; mass density = 5.6 Mg/m³; density of states at the Fermi level = 2.4 states/eV per cell; SG = No. 160
1.0
4.001 0.000 0.000
2.001 3.465 0.000
2.001 1.155 4.884
Y Be Zn
1 1 2
Cartesian
2.001 1.155 1.272
4.001 2.310 3.204
2.001 1.155 4.276
6.002 3.465 3.421

=====

Entry 2:
Al3Au5 SCAN PBEsol geometry; total DFT energy (no corrections) = -745.6 eV for the cell shown; mass density = 12.8 Mg/m³; density of states at the Fermi level = 4.0 states/eV per cell; ΔE to the lowest computed polymorph = 0.00 kJ per mole of atoms; SG = No. 42
1.0
6.316 0.000 0.000
3.158 6.392 0.000
3.158 0.000 6.869
Al Au
6 10
Cartesian
5.094 3.196 3.435
8.252 3.196 3.435
5.770 4.353 0.000
2.612 2.039 0.000
2.663 0.000 4.539
5.821 0.000 2.331
0.856 0.000 0.000
4.266 0.000 0.000
6.647 1.383 4.453
6.647 5.009 2.416
3.541 4.054 1.482
9.857 2.338 5.387
9.805 5.009 4.453
3.489 1.383 2.416
6.699 2.338 1.482
6.699 4.054 5.387